A geometry-optimized BaNiPO2 structure, computed with GGA+U.

- raw total energy (eV for the cell shown) = -17.13
- volume (Å³/atom) = 26.714

Lattice parameters (Å, degrees): 4.3898 4.3898 6.9316 90.00 90.00 90.00
With the nearest neighbours (Å) after each atom.
Space group P4/mmm (No. 123)
Inequivalent atoms, fractional coordinates:
Ba1 0.0000 0.0000 0.0000 (multiplicity 1)  4 O 2.19
Ni1 0.5000 0.5000 0.5000 (multiplicity 1)  4 P 3.10
P1 0.0000 0.0000 0.5000 (multiplicity 1)  4 Ni 3.10, 2 Ba 3.47
O1 0.0000 0.5000 0.0000 (multiplicity 2)  2 Ba 2.19